Entry from the Alexandria database: a geometry-optimized CsSrTi2 structure (PBE).

The formation energy is 1.402 eV/atom. The space-group type is Fm-3m (225). Its total energy is -12.72 eV/cell. The total moment comes out at 6.40 Bohr magnetons per cell. For the mass density, the calculation gives 3.58 Mg/m³.

a b c (Å): 5.9220 5.9220 5.9220
angles (deg): 60.00 60.00 60.00
Closest atoms and distances in Å follow each position.
Positions (direct):
Cs 0.5000 0.5000 0.5000  8 Ti 3.63
Sr 0.0000 0.0000 0.0000  8 Ti 3.63
Ti 0.2500 0.2500 0.2500  4 Cs 3.63, 4 Sr 3.63
Ti 0.7500 0.7500 0.7500  4 Cs 3.63, 4 Sr 3.63

=====

Entry from the Alexandria database: a geometry-optimized Sm16Y6Tm7 structure (PBE).

The formation energy is 0.202 eV/atom. The space-group type is Fm-3m (225). Its total energy is -139.75 eV/cell. The total moment comes out at 0.00 Bohr magnetons per cell. For the mass density, the calculation gives 6.91 Mg/m³.

a b c (Å): 11.1906 11.1906 11.1906
angles (deg): 60.00 60.00 60.00
Closest atoms and distances in Å follow each position.
Positions (direct):
Sm 0.8768 0.8768 0.3695  4 Tm 3.38-3.44, 3 Sm 3.62, 3 Y 3.67
Sm 0.8768 0.8768 0.8768  4 Tm 3.38-3.44, 3 Sm 3.62, 3 Y 3.67
Sm 0.8768 0.3695 0.8768  4 Tm 3.38-3.44, 3 Sm 3.62, 3 Y 3.67
Sm 0.3695 0.8768 0.8768  4 Tm 3.38-3.44, 3 Sm 3.62, 3 Y 3.67
Sm 0.1232 0.1232 0.1232  4 Tm 3.38-3.44, 3 Sm 3.62, 3 Y 3.67
Sm 0.1232 0.1232 0.6305  4 Tm 3.38-3.44, 3 Sm 3.62, 3 Y 3.67
Sm 0.1232 0.6305 0.1232  4 Tm 3.38-3.44, 3 Sm 3.62, 3 Y 3.67
Sm 0.6305 0.1232 0.1232  4 Tm 3.38-3.44, 3 Sm 3.62, 3 Y 3.67
Sm 0.6515 0.6515 0.0456  3 Tm 3.26, 3 Y 3.58, 3 Sm 3.62
Sm 0.6515 0.6515 0.6515  3 Tm 3.26, 3 Y 3.58, 3 Sm 3.62
Sm 0.6515 0.0456 0.6515  3 Tm 3.26, 3 Y 3.58, 3 Sm 3.62
Sm 0.0456 0.6515 0.6515  3 Tm 3.26, 3 Y 3.58, 3 Sm 3.62
Sm 0.3485 0.3485 0.3485  3 Tm 3.26, 3 Y 3.58, 3 Sm 3.62
Sm 0.3485 0.3485 0.9544  3 Tm 3.26, 3 Y 3.58, 3 Sm 3.62
Sm 0.3485 0.9544 0.3485  3 Tm 3.26, 3 Y 3.58, 3 Sm 3.62
Sm 0.9544 0.3485 0.3485  3 Tm 3.26, 3 Y 3.58, 3 Sm 3.62
Y 0.2759 0.7241 0.2759  8 Sm 3.58-3.67, 4 Tm 3.98
Y 0.7241 0.2759 0.7241  8 Sm 3.58-3.67, 4 Tm 3.98
Y 0.7241 0.2759 0.2759  8 Sm 3.58-3.67, 4 Tm 3.98
Y 0.2759 0.7241 0.7241  8 Sm 3.58-3.67, 4 Tm 3.98
Y 0.7241 0.7241 0.2759  8 Sm 3.58-3.67, 4 Tm 3.98
Y 0.2759 0.2759 0.7241  8 Sm 3.58-3.67, 4 Tm 3.98
Tm 0.0000 0.0000 0.0000  8 Sm 3.38
Tm 0.5000 0.0000 0.5000  8 Sm 3.26-3.44
Tm 0.0000 0.5000 0.0000  8 Sm 3.26-3.44
Tm 0.0000 0.5000 0.5000  8 Sm 3.26-3.44
Tm 0.5000 0.0000 0.0000  8 Sm 3.26-3.44
Tm 0.0000 0.0000 0.5000  8 Sm 3.26-3.44
Tm 0.5000 0.5000 0.0000  8 Sm 3.26-3.44

=====

Entry from the Alexandria database: a geometry-optimized Ta2InRu2 structure (PBE).

The formation energy is 0.024 eV/atom. The space-group type is P4/mbm (127). Its total energy is -89.75 eV/cell. The total moment comes out at 0.00 Bohr magnetons per cell. For the mass density, the calculation gives 12.50 Mg/m³.

a b c (Å): 7.7706 7.7706 2.9874
angles (deg): 90.00 90.00 90.00
Closest atoms and distances in Å follow each position.
Positions (direct):
Ru 0.1405 0.6405 0.5000  6 Ta 2.68-2.79, 2 Ru 2.99
Ru 0.6405 0.8595 0.5000  6 Ta 2.68-2.79, 2 Ru 2.99
Ru 0.8595 0.3595 0.5000  6 Ta 2.68-2.79, 2 Ru 2.99
Ru 0.3595 0.1405 0.5000  6 Ta 2.68-2.79, 2 Ru 2.99
In 0.0000 0.0000 0.0000  4 Ta 2.98, 2 In 2.99
In 0.5000 0.5000 0.0000  4 Ta 2.98, 2 In 2.99
Ta 0.3547 0.8547 0.0000  6 Ru 2.68-2.79, 2 In 2.98, 2 Ta 2.99
Ta 0.8547 0.6453 0.0000  6 Ru 2.68-2.79, 2 In 2.98, 2 Ta 2.99
Ta 0.6453 0.1453 0.0000  6 Ru 2.68-2.79, 2 In 2.98, 2 Ta 2.99
Ta 0.1453 0.3547 0.0000  6 Ru 2.68-2.79, 2 In 2.98, 2 Ta 2.99

=====

Entry from the Alexandria database: a geometry-optimized BaLa3Mg4 structure (PBE).

The formation energy is -0.068 eV/atom. The space-group type is Pmmm (47). Its total energy is -23.63 eV/cell. The total moment comes out at 0.00 Bohr magnetons per cell. For the mass density, the calculation gives 4.06 Mg/m³.

a b c (Å): 4.0334 5.7390 11.5001
angles (deg): 90.00 90.00 90.00
Closest atoms and distances in Å follow each position.
Positions (direct):
Mg 0.0000 0.0000 0.5000  8 La 3.45-3.51
Mg 0.0000 0.5000 0.7365  6 La 3.39-3.51, 2 Ba 3.64
Mg 0.0000 0.0000 0.0000  4 Ba 3.51, 4 La 3.57
Mg 0.0000 0.5000 0.2635  6 La 3.39-3.51, 2 Ba 3.64
Ba 0.5000 0.5000 0.0000  8 Mg 3.51-3.64
La 0.5000 0.0000 0.2563  8 Mg 3.45-3.57
La 0.5000 0.5000 0.5000  8 Mg 3.39-3.51
La 0.5000 0.0000 0.7437  8 Mg 3.45-3.57

=====

Entry from the Alexandria database: a geometry-optimized Na4U3CdN8 structure (PBE).

The space-group type is R-3m (166). Its total energy is -119.41 eV/cell. The total moment comes out at 0.00 Bohr magnetons per cell. For the uncorrected formation energy, the calculation gives -0.797 eV/atom. For the mass density, the calculation gives 7.24 Mg/m³.

a b c (Å): 6.9391 6.9411 6.9402
angles (deg): 119.97 119.99 90.00
Closest atoms and distances in Å follow each position.
Positions (direct):
Na 0.5000 0.0000 0.0000  6 N 2.50
Na 0.5000 0.0000 0.5000  6 N 2.67-2.77
Na 0.0000 0.0000 0.0000  6 N 2.68-2.77
Na 0.0000 0.0000 0.5000  6 N 2.67-2.77
U 0.5000 0.5000 0.0000  6 N 2.18-2.27
U 0.5000 0.5000 0.5000  6 N 2.18-2.27
U 0.0000 0.5000 0.5000  6 N 2.18-2.27
Cd 0.0000 0.5000 0.0000  6 N 2.48
N 0.2486 0.6880 0.9392  2 U 2.18
N 0.2488 0.6881 0.4975  2 U 2.18
N 0.2710 0.3128 0.5420  3 U 2.27
N 0.6906 0.6880 0.9392  2 U 2.18
N 0.3094 0.3120 0.0608  2 U 2.18
N 0.7290 0.6872 0.4580  3 U 2.27
N 0.7512 0.3119 0.5025  2 U 2.18
N 0.7514 0.3120 0.0608  2 U 2.18

=====

Entry from the Alexandria database: a geometry-optimized LiCuNiTe2 structure (PBE).

The space-group type is P4/mmm (123). Its total energy is -14.85 eV/cell. The total moment comes out at 0.00 Bohr magnetons per cell. For the uncorrected formation energy, the calculation gives 0.645 eV/atom. For the mass density, the calculation gives 6.34 Mg/m³.

a b c (Å): 4.9278 4.1441 4.9278
angles (deg): 90.00 90.00 90.00
Closest atoms and distances in Å follow each position.
Positions (direct):
Ni 0.5000 0.5000 0.5000  8 Te 3.22, 4 Cu 3.48
Te 0.0000 0.0000 0.5000  2 Li 2.46
Te 0.5000 0.0000 0.0000  2 Li 2.46
Cu 0.0000 0.5000 0.0000  2 Li 2.07
Li 0.0000 0.0000 0.0000  2 Cu 2.07